No. 1
This record from Alexandria via LeMat-Bulk describes crystalline CsLiRe2Ni at its relaxed geometry. The functional is PBE-GGA.

Structure (POSCAR):
```
CsLiRe2Ni
1.0
4.491 0.000 0.000
0.000 4.347 0.000
0.000 0.000 4.491
Cs Re Li Ni
1 2 1 1
direct
0.500 0.500 0.500
0.000 0.000 0.500
0.500 0.000 0.000
0.000 0.000 0.000
0.000 0.500 0.000
```

The crystal system is tetragonal. Its density of states at the Fermi level is 6.99 states/eV/f.u. The value obtained for the total energy is -4.404 eV/atom.

No. 2
This record from Alexandria via LeMat-Bulk describes crystalline CsLiNiRh2 at its relaxed geometry. The functional is PBE-GGA.

Structure (POSCAR):
```
CsLiNiRh2
1.0
-1.111 3.659 2.596
-3.058 1.533 -3.469
-3.422 -2.421 1.947
Cs Ni Rh Li
1 1 2 1
direct
0.500 0.500 0.500
0.000 0.000 0.000
0.000 0.000 0.500
0.500 0.000 0.000
0.000 0.500 0.000
```

The crystal system is tetragonal. Its density of states at the Fermi level is 3.75 states/eV/f.u. The value obtained for the total energy is -3.992 eV/atom.

No. 3
This record from Alexandria via LeMat-Bulk describes crystalline CsSr2LiNi at its relaxed geometry. The functional is PBE-GGA.

Structure (POSCAR):
```
CsSr2LiNi
1.0
-1.347 -1.680 -5.459
5.695 0.039 -1.417
0.452 -5.749 1.658
Cs Sr Li Ni
1 2 1 1
direct
0.500 0.500 0.500
0.000 0.500 0.000
0.500 0.000 0.000
0.000 0.000 0.500
0.000 0.000 0.000
```

The crystal system is tetragonal. Its density of states at the Fermi level is 3.75 states/eV/f.u. The value obtained for the total energy is -2.165 eV/atom.

No. 4
This record from Alexandria via LeMat-Bulk describes crystalline CsLiTl2Ni at its relaxed geometry. The functional is PBE-GGA.

Structure (POSCAR):
```
CsLiTl2Ni
1.0
5.169 0.000 0.000
0.000 5.169 0.000
0.000 0.000 5.581
Cs Ni Tl Li
1 1 2 1
direct
0.500 0.500 0.500
0.000 0.000 0.000
0.000 0.500 0.000
0.500 0.000 0.000
0.000 0.000 0.500
```

The crystal system is tetragonal. Its density of states at the Fermi level is 2.41 states/eV/f.u. The value obtained for the total energy is -2.594 eV/atom.

No. 5
This record from Alexandria via LeMat-Bulk describes crystalline CsLi2ZrNi at its relaxed geometry. The functional is PBE-GGA.

Structure (POSCAR):
```
CsLi2ZrNi
1.0
4.820 0.000 0.000
0.000 5.164 0.000
0.000 0.000 4.820
Cs Ni Zr Li
1 1 1 2
direct
0.000 0.000 0.000
0.000 0.500 0.000
0.500 0.500 0.500
0.000 0.000 0.500
0.500 0.000 0.000
```

The crystal system is tetragonal. Its density of states at the Fermi level is 9.47 states/eV/f.u. The value obtained for the total energy is -2.398 eV/atom.

No. 6
This record from Alexandria via LeMat-Bulk describes crystalline Cs3Li2NpO6 at its relaxed geometry. The functional is PBE-GGA.

Structure (POSCAR):
```
Cs3Li2NpO6
1.0
6.496 -0.193 0.148
-3.414 5.530 0.148
-0.859 -1.488 6.478
Cs Li Np O
3 2 1 6
direct
0.183 0.817 0.500
0.817 0.183 0.500
0.500 0.500 0.500
0.266 0.734 0.000
0.734 0.266 0.000
0.000 0.000 0.000
0.933 0.659 0.860
0.852 0.852 0.233
0.067 0.341 0.140
0.659 0.933 0.860
0.148 0.148 0.767
0.341 0.067 0.140
```

The calculation puts the uncorrected formation energy at -1.9654 eV per atom. The crystal system is monoclinic. The value obtained for the total energy is -6.055 eV/atom.

Which formula does entry 1 have? CsLiRe2Ni